Density functional theory data (SCAN) for a crystal of BaP2W relaxed with PBEsol.

Lattice parameters (Å, degrees): 3.702 3.702 21.042 90.00 90.00 120.00
Positions (direct):
Ba  0.000  0.000  0.000
Ba  0.333  0.667  0.667
Ba  0.667  0.333  0.333
P  0.000  0.000  0.228
P  0.000  0.000  0.772
P  0.333  0.667  0.438
P  0.333  0.667  0.895
P  0.667  0.333  0.105
P  0.667  0.333  0.562
W  0.000  0.000  0.500
W  0.333  0.667  0.167
W  0.667  0.333  0.833

Size of the total moment, Bohr magnetons per cell: 0.0
ΔH_f (0 K), kcal/mol of atoms: -8.9
Volume, Å³/cell: 249.74

=====

Density functional theory data (SCAN) for a crystal of BaPW2 relaxed with PBEsol.

Lattice parameters (Å, degrees): 8.287 3.273 6.751 90.00 100.74 90.00
Positions (direct):
Ba  0.000  0.000  0.000
Ba  0.500  0.500  0.000
P  0.262  0.000  0.662
P  0.762  0.500  0.662
W  0.031  0.500  0.531
W  0.296  0.500  0.389
W  0.531  0.000  0.531
W  0.796  0.000  0.389

Size of the total moment, Bohr magnetons per cell: 0.0
ΔH_f (0 K), kcal/mol of atoms: 8.0
Volume, Å³/cell: 179.91

=====

Density functional theory data (SCAN) for a crystal of BaPW2 relaxed with PBEsol.

Lattice parameters (Å, degrees): 3.088 6.006 9.639 90.00 90.00 90.00
Positions (direct):
Ba  0.000  0.000  0.000
Ba  0.500  0.500  0.500
P  0.000  0.500  0.223
P  0.500  0.000  0.723
W  0.000  0.000  0.524
W  0.000  0.500  0.820
W  0.500  0.000  0.320
W  0.500  0.500  0.024

Size of the total moment, Bohr magnetons per cell: 0.0
ΔH_f (0 K), kcal/mol of atoms: 24.7
Volume, Å³/cell: 178.75

=====

Density functional theory data (SCAN) for a crystal of Ba2YP relaxed with PBEsol.

Lattice parameters (Å, degrees): 11.379 11.379 5.353 90.00 90.00 90.00
Positions (direct):
Ba  0.109  0.250  0.125
Ba  0.250  0.609  0.375
Ba  0.250  0.891  0.875
Ba  0.391  0.250  0.625
Ba  0.609  0.750  0.625
Ba  0.750  0.109  0.875
Ba  0.750  0.391  0.375
Ba  0.891  0.750  0.125
Y  0.000  0.000  0.500
Y  0.000  0.500  0.750
Y  0.500  0.000  0.250
Y  0.500  0.500  0.000
P  0.000  0.000  0.000
P  0.000  0.500  0.250
P  0.500  0.000  0.750
P  0.500  0.500  0.500

Size of the total moment, Bohr magnetons per cell: 3.3
ΔH_f (0 K), kcal/mol of atoms: -10.9
Volume, Å³/cell: 693.05

=====

Density functional theory data (SCAN) for a crystal of BaYP2 relaxed with PBEsol.

Lattice parameters (Å, degrees): 7.081 7.081 7.081 90.00 90.00 90.00
Positions (direct):
Ba  0.000  0.000  0.000
Ba  0.000  0.500  0.500
Ba  0.500  0.000  0.500
Ba  0.500  0.500  0.000
Y  0.250  0.250  0.750
Y  0.250  0.750  0.250
Y  0.750  0.250  0.250
Y  0.750  0.750  0.750
P  0.000  0.000  0.500
P  0.000  0.500  0.000
P  0.250  0.250  0.250
P  0.250  0.750  0.750
P  0.500  0.000  0.000
P  0.500  0.500  0.500
P  0.750  0.250  0.750
P  0.750  0.750  0.250

Size of the total moment, Bohr magnetons per cell: 0.0
Offset from the most stable computed form, meV per atom: 756
ΔH_f (0 K), kcal/mol of atoms: -2.0
Volume, Å³/cell: 355.04

=====

Density functional theory data (SCAN) for a crystal of BaYP2 relaxed with PBEsol.

Lattice parameters (Å, degrees): 4.249 4.249 10.828 90.00 90.00 90.00
Positions (direct):
Ba  0.000  0.000  0.000
Ba  0.500  0.500  0.500
Y  0.000  0.500  0.750
Y  0.500  0.000  0.250
P  0.000  0.000  0.500
P  0.000  0.500  0.250
P  0.500  0.000  0.750
P  0.500  0.500  0.000

Size of the total moment, Bohr magnetons per cell: 0.0
Offset from the most stable computed form, meV per atom: 149
ΔH_f (0 K), kcal/mol of atoms: -16.0
Volume, Å³/cell: 195.52

=====

Density functional theory data (SCAN) for a crystal of BaYP3 relaxed with PBEsol.

Lattice parameters (Å, degrees): 5.200 5.200 5.200 90.00 90.00 90.00
Positions (direct):
Ba  0.000  0.000  0.000
Y  0.500  0.500  0.500
P  0.000  0.500  0.500
P  0.500  0.000  0.500
P  0.500  0.500  0.000

Size of the total moment, Bohr magnetons per cell: 0.0
ΔH_f (0 K), kcal/mol of atoms: -11.0
Volume, Å³/cell: 140.63

=====

Density functional theory data (SCAN) for a crystal of Ba2YP relaxed with PBEsol.

Lattice parameters (Å, degrees): 4.827 4.827 10.420 90.00 90.00 90.00
Positions (direct):
Ba  0.000  0.000  0.000
Ba  0.000  0.500  0.250
Ba  0.500  0.000  0.750
Ba  0.500  0.500  0.500
Y  0.000  0.500  0.750
Y  0.500  0.000  0.250
P  0.000  0.000  0.500
P  0.500  0.500  0.000

Size of the total moment, Bohr magnetons per cell: 0.0
ΔH_f (0 K), kcal/mol of atoms: -1.7
Volume, Å³/cell: 242.82